# MnCoIO2

MnCoIO2 after structural relaxation (PBE with a Hubbard U, Alexandria via LeMat-Bulk).

Cell: 3.931 3.931 5.487 Å, 90.00 90.00 90.00°
Fractional coordinates of all 5 atoms:
Mn 0.000 0.000 0.000
Co 0.500 0.500 0.500
I 0.500 0.500 0.000
O 0.000 0.500 0.500
O 0.500 0.000 0.500

Output
**E above lowest polymorph**: 0.233 eV/atom
**Crystal system**: tetragonal
**Space group**: P4/mmm